A relaxed PuWAu crystal, computed with PBE.

Properties
* E above lowest polymorph: 0 meV/atom
* ΔE_f: 2.174 eV/f.u.
* crystal system: cubic

a b c (Å): 6.4450 6.4450 6.4450
angles (deg): 90.00 90.00 90.00
Closest atoms and distances in Å follow each position.
Space group F-43m (No. 216)
Unique sites:
Pu1 0.0000 0.0000 0.0000  4 W 2.79
W1 0.2500 0.2500 0.2500  4 Pu 2.79, 4 Au 2.79
Au1 0.0000 0.0000 0.5000  4 W 2.79

---

A relaxed Cu7Ag crystal, computed with PBE.

Properties
* E above lowest polymorph: 11 meV/atom
* ΔE_f: 0.433 eV/f.u.
* crystal system: orthorhombic

a b c (Å): 5.2289 7.2860 5.2783
angles (deg): 90.00 90.00 90.00
Closest atoms and distances in Å follow each position.
Space group Cmmm (No. 65)
Unique sites:
Cu1 0.0000 0.0000 0.0000  12 Cu 2.57-2.64
Cu2 0.0000 0.0000 0.5000  2 Ag 2.61, 10 Cu 2.63-2.64
Cu3 0.0000 0.5000 0.0000  10 Cu 2.57-2.61, 2 Ag 2.64
Cu4 0.2500 0.2500 0.2388  10 Cu 2.52-2.76, 2 Ag 2.63
Ag1 0.0000 0.5000 0.5000  12 Cu 2.61-2.64

---

A relaxed DyNbN2O crystal, computed with PBE.

Properties
* uncorrected energy: -9.05 eV/atom
* crystal system: orthorhombic

a b c (Å): 7.8373 5.5186 5.7650
angles (deg): 90.00 90.00 90.00
Closest atoms and distances in Å follow each position.
Space group Pmc2_1 (No. 26)
Unique sites:
Dy1 0.0000 0.2475 0.0000  2 O 2.27, 2 N 2.31-2.47
Dy2 0.5000 0.2494 0.1192  4 N 2.25-2.40
Nb1 0.2567 0.2652 0.5726  4 N 1.95-2.07, 1 O 2.08
N1 0.0000 0.3418 0.5805  2 Nb 2.06
N2 0.3019 0.4399 0.8605  2 Nb 1.95-2.07
N3 0.5000 0.1411 0.5054  2 Nb 2.06, 2 Dy 2.25-2.31
O1 0.1978 0.0640 0.2289  2 Nb 2.08-2.32, 1 Dy 2.27

---

no.,ρ (g cm⁻³)
1,15.5
2,9.1
3,8.0